The following is a PBE-GGA calculation of crystalline Si2AgAs at its relaxed geometry, from Alexandria via LeMat-Bulk.

```
Si2AgAs
1.0
-1.736 2.087 5.096
1.736 -2.087 5.096
1.736 2.087 -5.096
Si Ag As
2 1 1
direct
0.000 0.000 0.000
0.817 0.317 0.500
0.325 0.825 0.500
0.636 0.636 0.000
```

## Properties
Space group: Imm2 (44)
ΔE_f (raw) in eV per atom: 0.42
Crystal system: orthorhombic